[1]
# Nb2Fe2Pd, relaxed, DFT PBE
data_Nb2Fe2Pd
_chemical_formula_sum 'Nb4 Fe4 Pd2'
_symmetry_space_group_name_H-M 'P 4/m b m'
_symmetry_Int_Tables_number 127
_symmetry_space_group_name_Hall '-P 4 2ab'
_cell_length_a 7.243
_cell_length_b 7.243
_cell_length_c 2.888
_cell_angle_alpha 90.00
_cell_angle_beta 90.00
_cell_angle_gamma 90.00
loop_
_atom_site_label
_atom_site_fract_x
_atom_site_fract_y
_atom_site_fract_z
Nb1 0.152 0.348 0.000
Fe1 0.141 0.641 0.500
Pd1 0.000 0.000 0.000
# * E above lowest polymorph: 0.254 eV per atom
# * size of the total moment: 0.00 μB/f.u.
# * mass density: 8.85 g/cm³
# * energy of formation from the pure elements: 82 kJ/mol of formula units

[2]
# Fe2Tc, relaxed, DFT PBE
data_Fe2Tc
_chemical_formula_sum 'Fe2 Tc1'
_symmetry_space_group_name_H-M 'P 4/m m m'
_symmetry_Int_Tables_number 123
_symmetry_space_group_name_Hall '-P 4 2'
_cell_length_a 3.324
_cell_length_b 3.324
_cell_length_c 3.843
_cell_angle_alpha 90.00
_cell_angle_beta 90.00
_cell_angle_gamma 90.00
loop_
_atom_site_label
_atom_site_fract_x
_atom_site_fract_y
_atom_site_fract_z
Fe1 0.000 0.500 0.000
Tc1 0.000 0.000 0.500
# * E above lowest polymorph: 0.783 eV per atom
# * size of the total moment: 3.24 μB/f.u.
# * mass density: 8.20 g/cm³
# * energy of formation from the pure elements: 232 kJ/mol of formula units

[3]
# Ac2La15Sc2, relaxed, DFT PBE
data_Ac2La15Sc2
_chemical_formula_sum 'Ac6 La45 Sc6'
_symmetry_space_group_name_H-M 'R -3 m'
_symmetry_Int_Tables_number 166
_symmetry_space_group_name_Hall '-R 3 2"'
_cell_length_a 11.6097
_cell_length_b 11.6097
_cell_length_c 18.0208
_cell_angle_alpha 90.00
_cell_angle_beta 90.00
_cell_angle_gamma 120.00
loop_
_atom_site_label
_atom_site_fract_x
_atom_site_fract_y
_atom_site_fract_z
Ac1 0.0000 0.0000 0.1779
La1 0.0000 0.2871 0.5000
La2 0.0000 0.5000 0.0000
La3 0.0108 0.5054 0.6403
Sc1 0.0000 0.0000 0.4096
# * size of the total moment: 0.00 μB/f.u.
# * mass density: 6.22 g/cm³
# * energy of formation from the pure elements: 335 kJ/mol of formula units

[4]
# VFeTe2N, relaxed, DFT PBE
data_VFeTe2N
_chemical_formula_sum 'V1 Fe1 Te2 N1'
_symmetry_space_group_name_H-M 'P 4/m m m'
_symmetry_Int_Tables_number 123
_symmetry_space_group_name_Hall '-P 4 2'
_cell_length_a 5.242
_cell_length_b 5.242
_cell_length_c 3.397
_cell_angle_alpha 90.00
_cell_angle_beta 90.00
_cell_angle_gamma 90.00
loop_
_atom_site_label
_atom_site_fract_x
_atom_site_fract_y
_atom_site_fract_z
V1 0.000 0.000 0.000
Fe1 0.500 0.500 0.500
Te1 0.000 0.500 0.500
N1 0.500 0.500 0.000
# * E above lowest polymorph: 0.000 eV per atom
# * size of the total moment: 2.99 μB/f.u.
# * mass density: 6.69 g/cm³
# * raw formation energy: 0.3237 eV/atom

[5]
# Be2CuSi, relaxed, DFT PBE
data_Be2CuSi
_chemical_formula_sum 'Be4 Cu2 Si2'
_symmetry_space_group_name_H-M 'C m m m'
_symmetry_Int_Tables_number 65
_symmetry_space_group_name_Hall '-C 2 2'
_cell_length_a 4.739
_cell_length_b 6.952
_cell_length_c 2.571
_cell_angle_alpha 90.00
_cell_angle_beta 90.00
_cell_angle_gamma 90.00
loop_
_atom_site_label
_atom_site_fract_x
_atom_site_fract_y
_atom_site_fract_z
Be1 0.250 0.250 0.000
Cu1 0.000 0.000 0.500
Si1 0.000 0.500 0.500
# * size of the total moment: 0.00 μB/f.u.
# * mass density: 4.30 g/cm³
# * raw formation energy: 0.1323 eV/atom

[6]
# KIO2, relaxed, DFT PBE
data_KIO2
_chemical_formula_sum 'K3 I3 O6'
_symmetry_space_group_name_H-M 'P 31 2 1'
_symmetry_Int_Tables_number 152
_cell_length_a 6.5449
_cell_length_b 6.5449
_cell_length_c 8.7754
_cell_angle_alpha 90.00
_cell_angle_beta 90.00
_cell_angle_gamma 120.00
loop_
_symmetry_equiv_pos_as_xyz
'x,y,z'
'-y,x-y,z+1/3'
'-x+y,-x,z+2/3'
'y,x,-z'
'x-y,-y,-z+2/3'
'-x,-x+y,-z+1/3'
loop_
_atom_site_label
_atom_site_fract_x
_atom_site_fract_y
_atom_site_fract_z
K1 0.0000 0.6100 0.1667
I1 0.0000 0.6859 0.6667
O1 0.0150 0.2828 0.9665
# * E above lowest polymorph: 0.031 eV per atom
# * size of the total moment: 0.00 μB/f.u.
# * mass density: 3.03 g/cm³
# * raw formation energy: -0.6869 eV/atom

[7]
# Ho2BeGeRh6, relaxed, DFT PBE
data_Ho2BeGeRh6
_chemical_formula_sum 'Ho4 Be2 Ge2 Rh12'
_symmetry_space_group_name_H-M 'I m m m'
_symmetry_Int_Tables_number 71
_symmetry_space_group_name_Hall '-I 2 2'
_cell_length_a 6.209
_cell_length_b 6.221
_cell_length_c 8.787
_cell_angle_alpha 90.00
_cell_angle_beta 90.00
_cell_angle_gamma 90.00
loop_
_atom_site_label
_atom_site_fract_x
_atom_site_fract_y
_atom_site_fract_z
Ho1 0.000 0.000 0.250
Be1 0.000 0.500 0.000
Ge1 0.000 0.500 0.500
Rh1 0.000 0.500 0.237
Rh2 0.237 0.263 0.000
# * size of the total moment: 0.00 μB/f.u.
# * mass density: 10.07 g/cm³
# * energy of formation from the pure elements: -489 kJ/mol of formula units

[8]
# Sc2TiSe4, relaxed, DFT PBE
data_Sc2TiSe4
_chemical_formula_sum 'Sc4 Ti2 Se8'
_symmetry_space_group_name_H-M 'C 1 2/m 1'
_symmetry_Int_Tables_number 12
_cell_length_a 13.846
_cell_length_b 3.792
_cell_length_c 6.707
_cell_angle_alpha 90.00
_cell_angle_beta 118.46
_cell_angle_gamma 90.00
loop_
_symmetry_equiv_pos_as_xyz
'x,y,z'
'-x,-y,-z'
'-x,y,-z'
'x,-y,z'
'x+1/2,y+1/2,z'
'-x+1/2,-y+1/2,-z'
'-x+1/2,y+1/2,-z'
'x+1/2,-y+1/2,z'
loop_
_atom_site_label
_atom_site_fract_x
_atom_site_fract_y
_atom_site_fract_z
Sc1 0.246 0.000 0.261
Ti1 0.000 0.500 0.500
Se1 0.116 0.500 0.290
Se2 0.122 0.000 0.787
# * size of the total moment: 0.00 μB/f.u.
# * mass density: 4.87 g/cm³
# * raw formation energy: -1.4965 eV/atom